Entry 1:
VASP calculation (PBE) on a relaxed PaZn2CrN4 crystal.

Computed properties:
- E_form (uncorrected): -0.433 eV/atom
- SG: No. 42
- Crystal system: orthorhombic

Lattice parameters (Å, degrees): 5.591 5.588 4.943 63.80 63.72 52.48
Fractional positions:
Pa (0.000, 0.000, 0.000)
Zn (0.250, 0.250, 0.250)
Zn (0.750, 0.750, 0.750)
Cr (0.501, 0.501, 0.499)
N (0.155, 0.600, 0.400)
N (0.401, 0.847, 0.599)
N (0.600, 0.155, 0.845)
N (0.847, 0.401, 0.153)



Entry 2:
VASP calculation (PBE) on a relaxed Pa2ZnCrN5 crystal.

Computed properties:
- E_form (uncorrected): -0.923 eV/atom
- SG: No. 36
- Crystal system: orthorhombic

Lattice parameters (Å, degrees): 7.221 7.221 9.075 90.00 90.00 153.43
Fractional positions:
Pa (0.127, 0.873, 0.500)
Pa (0.132, 0.868, 0.057)
Pa (0.868, 0.132, 0.557)
Pa (0.873, 0.127, 0.000)
Zn (0.484, 0.516, 0.277)
Zn (0.516, 0.484, 0.777)
Cr (0.225, 0.775, 0.777)
Cr (0.775, 0.225, 0.277)
N (0.089, 0.911, 0.784)
N (0.283, 0.717, 0.423)
N (0.287, 0.713, 0.132)
N (0.367, 0.633, 0.758)
N (0.491, 0.509, 0.025)
N (0.509, 0.491, 0.525)
N (0.633, 0.367, 0.258)
N (0.713, 0.287, 0.632)
N (0.717, 0.283, 0.923)
N (0.911, 0.089, 0.284)



Entry 3:
VASP calculation (PBE) on a relaxed ZrPa2CrN5 crystal.

Computed properties:
- E_form (uncorrected): -1.336 eV/atom
- SG: No. 36
- Crystal system: orthorhombic

Lattice parameters (Å, degrees): 6.798 6.798 10.207 90.00 90.00 151.95
Fractional positions:
Zr (0.203, 0.797, 0.500)
Zr (0.797, 0.203, 0.000)
Pa (0.106, 0.894, 0.179)
Pa (0.144, 0.856, 0.796)
Pa (0.856, 0.144, 0.296)
Pa (0.894, 0.106, 0.679)
Cr (0.478, 0.522, 0.957)
Cr (0.522, 0.478, 0.457)
N (0.045, 0.955, 0.560)
N (0.281, 0.719, 0.160)
N (0.326, 0.674, 0.857)
N (0.371, 0.629, 0.495)
N (0.485, 0.515, 0.276)
N (0.515, 0.485, 0.776)
N (0.629, 0.371, 0.995)
N (0.674, 0.326, 0.357)
N (0.719, 0.281, 0.660)
N (0.955, 0.045, 0.060)



Entry 4:
VASP calculation (PBE) on a relaxed CrPbN2 crystal.

Computed properties:
- E_form (uncorrected): 0.290 eV/atom
- SG: No. 166
- Crystal system: trigonal

Lattice parameters (Å, degrees): 6.987 6.987 6.987 25.22 25.22 25.22
Fractional positions:
Cr (0.000, 0.000, 0.000)
Pb (0.500, 0.500, 0.500)
N (0.381, 0.381, 0.381)
N (0.619, 0.619, 0.619)